This record from Alexandria via LeMat-Bulk describes an optimized crystal structure of Ca5Zn2N. The functional is GGA-PBE.

```
Ca5Zn2N
1.0
-4.441 -4.613 -2.449
-2.363 -2.189 8.406
-9.900 9.670 -0.264
Ca Zn N
20 8 4
Direct
0.750 0.727 0.114 Ca
0.250 0.273 0.886 Ca
0.250 0.773 0.614 Ca
0.750 0.227 0.386 Ca
0.501 0.655 0.896 Ca
0.499 0.345 0.104 Ca
0.499 0.845 0.396 Ca
0.001 0.345 0.104 Ca
0.501 0.155 0.604 Ca
0.999 0.655 0.896 Ca
0.999 0.155 0.604 Ca
0.001 0.845 0.396 Ca
0.500 0.000 0.000 Ca
0.500 0.500 0.500 Ca
0.000 0.000 0.000 Ca
0.000 0.500 0.500 Ca
0.750 0.949 0.794 Ca
0.250 0.051 0.206 Ca
0.250 0.551 0.294 Ca
0.750 0.449 0.706 Ca
0.750 0.535 0.292 Zn
0.250 0.465 0.708 Zn
0.250 0.965 0.792 Zn
0.750 0.035 0.208 Zn
0.750 0.803 0.590 Zn
0.250 0.197 0.410 Zn
0.250 0.697 0.090 Zn
0.750 0.303 0.910 Zn
0.750 0.822 0.945 N
0.250 0.178 0.055 N
0.250 0.678 0.445 N
0.750 0.322 0.555 N
```

Output
Volume ... 26.696 A^3/atom
Size of the total moment ... 0.00 μB/cell
VASP energy ... -2.96 eV/atom
Energy relative to the elements, uncorrected ... -0.3515 eV per atom
Mass density ... 2.68 Mg/m³
DOS at the Fermi energy ... 16.437 states/eV/cell